Entry 1:
! TcOsRh2 PBE-GGA relaxed; values from VASP
&SYSTEM
  ibrav = 0, nat = 4, ntyp = 3
/
ATOMIC_SPECIES
Rh 102.91 Rh.upf
Os 190.23 Os.upf
Tc 98.00 Tc.upf
ATOMIC_POSITIONS crystal
Rh 0.999 0.999 0.001
Rh 0.501 0.501 0.499
Os 0.250 0.250 0.250
Tc 0.750 0.750 0.750
CELL_PARAMETERS angstrom
-4.065 -2.150 -1.141
-2.606 -3.947 0.279
-2.514 0.995 3.844
! Calculated density, g/cm³: 14.38
! V, A^3/atom: 14.27
! Space group: C2/m (12)
! DFT total energy, eV for the cell shown: -36.227
! M_tot, μB per atom: 0.0000
! DFT formation energy, eV per atom: 0.02

***

Entry 2:
! CoB PBE-GGA relaxed; values from VASP
&SYSTEM
  ibrav = 0, nat = 12, ntyp = 2
/
ATOMIC_SPECIES
Co 58.93 Co.upf
B 10.81 B.upf
ATOMIC_POSITIONS crystal
Co 0.000 0.500 0.750
Co 0.500 0.250 0.000
Co 0.250 0.000 0.500
Co 0.500 0.750 0.000
Co 0.750 0.000 0.500
Co 0.000 0.500 0.250
B 0.000 0.250 0.500
B 0.250 0.500 0.000
B 0.500 0.000 0.750
B 0.750 0.500 0.000
B 0.000 0.750 0.500
B 0.500 0.000 0.250
CELL_PARAMETERS angstrom
5.357 0.000 0.000
0.000 5.357 0.000
0.000 0.000 5.357
! Calculated density, g/cm³: 4.52
! V, A^3/atom: 12.81
! Space group: Pm-3n (223)
! DFT total energy, eV for the cell shown: -75.994
! M_tot, μB per atom: 0.0000
! DFT formation energy, eV per atom: 0.56

***

Entry 3:
! LiErInNi PBE-GGA relaxed; values from VASP
&SYSTEM
  ibrav = 0, nat = 4, ntyp = 4
/
ATOMIC_SPECIES
Li 6.94 Li.upf
In 114.82 In.upf
Er 167.26 Er.upf
Ni 58.69 Ni.upf
ATOMIC_POSITIONS crystal
Li 0.750 0.750 0.750
In 0.000 0.000 0.000
Er 0.500 0.500 0.500
Ni 0.250 0.250 0.250
CELL_PARAMETERS angstrom
-1.901 2.932 -3.089
1.395 -0.075 -4.450
-2.853 -1.628 -3.311
! Calculated density, g/cm³: 8.05
! V, A^3/atom: 17.93
! Space group: F-43m (216)
! DFT total energy, eV for the cell shown: -16.474
! M_tot, μB per atom: 0.0000
! DFT formation energy, eV per atom: -0.37